# Cd2CuTe

Cd2CuTe after structural relaxation (PBE, the Alexandria database).

Unit cell a=3.9597 b=4.0603 c=6.0064 alpha=82.26 beta=90.00 gamma=90.00
With the nearest neighbours (Å) after each atom.
Fractional coordinates of all 4 atoms:
Cd 0.0000 0.0000 0.0000  4 Cd 2.84, 2 Te 3.00
Cd 0.5000 0.5000 0.0000  4 Cd 2.84, 2 Cu 3.00
Cu 0.5000 0.5000 0.5000  4 Te 2.84, 2 Cd 3.00
Te 0.0000 0.0000 0.5000  4 Cu 2.84, 2 Cd 3.00

Calculated values
V ... 95.7 Å³/cell
Total magnetic moment ... 0.000 μB/f.u.
ΔE_f (raw) ... 0.142 eV/atom
ρ ... 7.2 g cm⁻³
DOS(E_F) ... 1.2 states/eV per cell
Space-group type ... P2/m, No. 10

# CaIr2Os

CaIr2Os after structural relaxation (PBE, the Alexandria database).

Unit cell a=4.5346 b=4.5346 c=4.5346 alpha=60.00 beta=60.00 gamma=60.00
With the nearest neighbours (Å) after each atom.
Fractional coordinates of all 4 atoms:
Ca 0.5000 0.5000 0.5000  4 Os 2.78, 4 Ir 2.78
Ir 0.0000 0.0000 0.0000  4 Os 2.78, 4 Ir 2.78
Ir 0.7500 0.7500 0.7500  4 Ca 2.78, 4 Ir 2.78
Os 0.2500 0.2500 0.2500  4 Ir 2.78, 4 Ca 2.78

Calculated values
V ... 65.9 Å³/cell
Total magnetic moment ... 0.000 μB/f.u.
Energy of formation from the pure elements ... 589 meV/atom
ρ ... 15.5 g cm⁻³
DOS(E_F) ... 5.2 states/eV per cell
Space-group type ... F-43m, No. 216

# MgSc2Au3

MgSc2Au3 after structural relaxation (PBE, the Alexandria database).

Unit cell a=3.3827 b=3.3827 c=10.0963 alpha=90.00 beta=90.00 gamma=90.00
With the nearest neighbours (Å) after each atom.
Fractional coordinates of all 6 atoms:
Mg 0.5000 0.5000 0.5000  8 Au 2.93
Sc 0.5000 0.5000 0.8283  8 Au 2.89-2.95
Sc 0.5000 0.5000 0.1717  8 Au 2.89-2.95
Au 0.0000 0.0000 0.0000  8 Sc 2.95
Au 0.0000 0.0000 0.6674  4 Sc 2.89, 4 Mg 2.93
Au 0.0000 0.0000 0.3326  4 Sc 2.89, 4 Mg 2.93

Calculated values
V ... 115.5 Å³/cell
Total magnetic moment ... 0.000 μB/f.u.
Energy of formation from the pure elements ... -755 meV/atom
ρ ... 10.1 g cm⁻³
DOS(E_F) ... 2.8 states/eV per cell
Space-group type ... P4/mmm, No. 123

# YBeAg2

YBeAg2 after structural relaxation (PBE, the Alexandria database).

Unit cell a=3.2011 b=3.2006 c=7.1237 alpha=90.00 beta=90.00 gamma=90.00
With the nearest neighbours (Å) after each atom.
Fractional coordinates of all 4 atoms:
Y 0.5000 0.5000 0.7500  8 Ag 3.14, 4 Y 3.20
Be 0.5000 0.5000 0.2500  8 Ag 2.65
Ag 0.0000 0.0000 0.0565  4 Be 2.65, 1 Ag 2.76
Ag 0.0000 0.0000 0.4435  4 Be 2.65, 1 Ag 2.76

Calculated values
V ... 73.0 Å³/cell
Total magnetic moment ... 0.001 μB/f.u.
Energy of formation from the pure elements ... 48 meV/atom
ρ ... 7.1 g cm⁻³
DOS(E_F) ... 2.9 states/eV per cell
Space-group type ... P4/mmm, No. 123

# K3TcRh

K3TcRh after structural relaxation (PBE, the Alexandria database).

Unit cell a=5.9952 b=5.9952 c=5.9952 alpha=90.00 beta=90.00 gamma=90.00
With the nearest neighbours (Å) after each atom.
Fractional coordinates of all 5 atoms:
K 0.0000 0.5000 0.0000  2 Rh 3.00
K 0.0000 0.0000 0.5000  2 Rh 3.00
K 0.5000 0.0000 0.0000  2 Rh 3.00
Rh 0.0000 0.0000 0.0000  6 K 3.00
Tc 0.5000 0.5000 0.5000  12 K 4.24

Calculated values
V ... 215.5 Å³/cell
Total magnetic moment ... 4.937 μB/f.u.
Energy of formation from the pure elements ... 1509 meV/atom
ρ ... 2.5 g cm⁻³
DOS(E_F) ... 9.2 states/eV per cell
Space-group type ... Pm-3m, No. 221

# ZrRu2Br

ZrRu2Br after structural relaxation (PBE, the Alexandria database).

Unit cell a=5.1669 b=5.1669 c=4.6112 alpha=75.79 beta=75.79 gamma=35.05
With the nearest neighbours (Å) after each atom.
Fractional coordinates of all 4 atoms:
Ru 0.0083 0.0083 0.9338  3 Ru 2.68-2.83, 4 Zr 2.74-2.83
Ru 0.7373 0.7373 0.8309  4 Br 2.65-2.93, 3 Ru 2.68-2.83
Br 0.2524 0.2524 0.2859  4 Ru 2.65-2.93, 3 Zr 2.75-2.85
Zr 0.5019 0.5019 0.4494  4 Ru 2.74-2.83, 3 Br 2.75-2.85

Calculated values
V ... 68.3 Å³/cell
Total magnetic moment ... 0.000 μB/f.u.
ΔE_f (raw) ... 0.237 eV/atom
ρ ... 9.1 g cm⁻³
DOS(E_F) ... 3.8 states/eV per cell
Space-group type ... Cm, No. 8

# K2ZrAs

K2ZrAs after structural relaxation (PBE, the Alexandria database).

Unit cell a=10.7938 b=10.7938 c=3.9123 alpha=80.13 beta=80.13 gamma=20.12
With the nearest neighbours (Å) after each atom.
Fractional coordinates of all 4 atoms:
As 0.7500 0.7500 0.7500  4 Zr 2.72
K 0.0950 0.0950 0.8962  2 As 3.75, 4 K 3.77-3.91, 2 Zr 3.79
K 0.4050 0.4050 0.6038  2 As 3.75, 4 K 3.77-3.91, 2 Zr 3.79
Zr 0.2500 0.2500 0.2500  4 As 2.72

Calculated values
V ... 154.4 Å³/cell
Total magnetic moment ... 0.886 μB/f.u.
Energy of formation from the pure elements ... -220 meV/atom
ρ ... 2.6 g cm⁻³
DOS(E_F) ... 2.5 states/eV per cell
Space-group type ... C2/m, No. 12

# PrCd9Ag2

PrCd9Ag2 after structural relaxation (PBE, the Alexandria database).

Unit cell a=7.5792 b=9.2225 c=9.2225 alpha=80.28 beta=65.74 gamma=65.74
With the nearest neighbours (Å) after each atom.
Fractional coordinates of all 24 atoms:
Pr 0.5000 0.0000 0.0000  18 Cd 3.59-3.86
Pr 0.2500 0.5000 0.5000  18 Cd 3.59-3.86
Cd 0.7500 0.5000 0.5000  4 Ag 3.12, 8 Cd 3.17
Cd 0.0000 0.0000 0.0000  4 Ag 3.12, 8 Cd 3.17
Cd 0.0007 0.9199 0.6791  6 Cd 2.86-3.17, 2 Ag 2.90-2.91
Cd 0.5997 0.0801 0.3209  6 Cd 2.86-3.17, 2 Ag 2.90-2.91
Cd 0.6706 0.1791 0.5801  6 Cd 2.86-3.17, 2 Ag 2.90-2.91
Cd 0.4298 0.8209 0.4199  6 Cd 2.86-3.17, 2 Ag 2.90-2.91
Cd 0.7493 0.8209 0.5801  6 Cd 2.86-3.17, 2 Ag 2.90-2.91
Cd 0.1503 0.1791 0.4199  6 Cd 2.86-3.17, 2 Ag 2.90-2.91
Cd 0.0794 0.9199 0.3209  6 Cd 2.86-3.17, 2 Ag 2.90-2.91
Cd 0.3202 0.0801 0.6791  6 Cd 2.86-3.17, 2 Ag 2.90-2.91
Cd 0.7493 0.5801 0.8209  6 Cd 2.86-3.17, 2 Ag 2.90-2.91
Cd 0.1503 0.4199 0.1791  6 Cd 2.86-3.17, 2 Ag 2.90-2.91
Cd 0.0794 0.3209 0.9199  6 Cd 2.86-3.17, 2 Ag 2.90-2.91
Cd 0.3202 0.6791 0.0801  6 Cd 2.86-3.17, 2 Ag 2.90-2.91
Cd 0.0007 0.6791 0.9199  6 Cd 2.86-3.17, 2 Ag 2.90-2.91
Cd 0.5997 0.3209 0.0801  6 Cd 2.86-3.17, 2 Ag 2.90-2.91
Cd 0.6706 0.5801 0.1791  6 Cd 2.86-3.17, 2 Ag 2.90-2.91
Cd 0.4298 0.4199 0.8209  6 Cd 2.86-3.17, 2 Ag 2.90-2.91
Ag 0.8750 0.2500 0.7500  10 Cd 2.90-3.12
Ag 0.8750 0.7500 0.2500  10 Cd 2.90-3.12
Ag 0.8750 0.2500 0.2500  10 Cd 2.90-3.12
Ag 0.3750 0.7500 0.7500  10 Cd 2.90-3.12

Calculated values
V ... 535.8 Å³/cell
Total magnetic moment ... 0.000 μB/f.u.
Energy of formation from the pure elements ... -154 meV/atom
ρ ... 8.5 g cm⁻³
DOS(E_F) ... 6.2 states/eV per cell
Space-group type ... I4_1/amd, No. 141

# NdNi4Pd

NdNi4Pd after structural relaxation (PBE, the Alexandria database).

Unit cell a=4.9708 b=4.9708 c=4.9708 alpha=60.00 beta=60.00 gamma=60.00
With the nearest neighbours (Å) after each atom.
Fractional coordinates of all 6 atoms:
Ni 0.6242 0.6242 0.1275  6 Ni 2.47-2.50
Ni 0.6242 0.1275 0.6242  6 Ni 2.47-2.50
Ni 0.6242 0.6242 0.6242  6 Ni 2.47-2.50
Ni 0.1275 0.6242 0.6242  6 Ni 2.47-2.50
Nd 0.0000 0.0000 0.0000  12 Ni 2.92, 4 Pd 3.04
Pd 0.2500 0.2500 0.2500  12 Ni 2.91, 4 Nd 3.04

Calculated values
V ... 86.8 Å³/cell
Total magnetic moment ... 0.840 μB/f.u.
Energy of formation from the pure elements ... -256 meV/atom
ρ ... 9.3 g cm⁻³
DOS(E_F) ... 7.4 states/eV per cell
Space-group type ... F-43m, No. 216

# HfTa3Ag

HfTa3Ag after structural relaxation (PBE, the Alexandria database).

Unit cell a=4.8917 b=4.8917 c=4.8917 alpha=90.00 beta=90.00 gamma=90.00
With the nearest neighbours (Å) after each atom.
Fractional coordinates of all 5 atoms:
Hf 0.5000 0.5000 0.5000  12 Ta 3.46
Ag 0.0000 0.0000 0.0000  6 Ta 2.45
Ta 0.0000 0.5000 0.0000  2 Ag 2.45
Ta 0.0000 0.0000 0.5000  2 Ag 2.45
Ta 0.5000 0.0000 0.0000  2 Ag 2.45

Calculated values
V ... 117.1 Å³/cell
Total magnetic moment ... 0.000 μB/f.u.
Energy of formation from the pure elements ... 1791 meV/atom
ρ ... 11.8 g cm⁻³
DOS(E_F) ... 6.3 states/eV per cell
Space-group type ... Pm-3m, No. 221

# CaTcP2

CaTcP2 after structural relaxation (PBE, the Alexandria database).

Unit cell a=4.0270 b=3.7206 c=6.2165 alpha=72.57 beta=90.00 gamma=90.00
With the nearest neighbours (Å) after each atom.
Fractional coordinates of all 4 atoms:
Ca 0.5000 0.6607 0.8037  6 P 2.91-3.03
P 0.0000 0.0513 0.0222  2 Tc 2.29
P 0.5000 0.3498 0.4259  2 Tc 2.27
Tc 0.0000 0.4382 0.2482  4 P 2.27-2.29

Calculated values
V ... 88.9 Å³/cell
Total magnetic moment ... 0.000 μB/f.u.
Energy of formation from the pure elements ... -460 meV/atom
ρ ... 3.7 g cm⁻³
DOS(E_F) ... 2.6 states/eV per cell
Space-group type ... Amm2, No. 38

# Sr2InAsN

Sr2InAsN after structural relaxation (PBE, the Alexandria database).

Unit cell a=5.2263 b=5.2263 c=4.5347 alpha=90.00 beta=90.00 gamma=90.00
With the nearest neighbours (Å) after each atom.
Fractional coordinates of all 5 atoms:
Sr 0.0000 0.5000 0.0000  2 N 2.61
Sr 0.5000 0.0000 0.0000  2 N 2.61
As 0.5000 0.5000 0.5000  8 Sr 3.46, 4 In 3.70
N 0.0000 0.0000 0.0000  2 In 2.27
In 0.0000 0.0000 0.5000  2 N 2.27

Calculated values
V ... 123.9 Å³/cell
Total magnetic moment ... 0.000 μB/f.u.
ΔE_f (raw) ... -0.598 eV/atom
ρ ... 5.1 g cm⁻³
DOS(E_F) ... 0.3 states/eV per cell
Space-group type ... P4/mmm, No. 123